1.
# SrZnSn2Pd

A relaxed SrZnSn2Pd crystal (GGA-PBE, OQMD).

Unit cell a=4.597 b=4.597 c=11.492 alpha=90.00 beta=90.00 gamma=90.00
Positions (direct):
Pd (0.000, 0.500, 0.370)
Pd (0.500, 0.000, 0.630)
Sn (0.000, 0.500, 0.138)
Sn (0.000, 0.000, 0.500)
Sn (0.500, 0.500, 0.500)
Sn (0.500, 0.000, 0.862)
Sr (0.500, 0.000, 0.251)
Sr (0.000, 0.500, 0.749)
Zn (0.000, 0.000, 0.000)
Zn (0.500, 0.500, 0.000)

Density = 6796 kg/m3
Space-group type = No. 129
Total energy = -3.79 eV/atom

2.
# Ta2Sn3Pd2

A relaxed Ta2Sn3Pd2 crystal (GGA-PBE, OQMD).

Unit cell a=8.383 b=8.383 c=8.383 alpha=31.78 beta=31.78 gamma=31.78
Positions (direct):
Pd (0.501, 0.501, 0.501)
Pd (0.999, 0.999, 0.999)
Sn (0.385, 0.385, 0.385)
Sn (0.626, 0.626, 0.626)
Sn (0.864, 0.864, 0.864)
Ta (0.250, 0.250, 0.250)
Ta (0.750, 0.750, 0.750)

Density = 10652 kg/m3
Space-group type = No. 160
Total energy = -6.32 eV/atom